Here is an optimized crystal structure of Na2AcTl2 from Alexandria. Energies are from PBE.

Output
E above lowest polymorph   0.000 eV per atom
Space-group type   Imma
DOS(E_F)   7.63 states/eV per cell
Total magnetization   0.00 Bohr magnetons per cell

abc: 15.7958 15.7958 15.7958
angles: 165.42 160.57 24.37
Sites, in units of the cell vectors:
Na 0.0449 0.2949 0.7500
Na 0.4395 0.1895 0.2500
Na 0.5605 0.8105 0.7500
Na 0.9551 0.7051 0.2500
Ac 0.3241 0.5741 0.7500
Ac 0.6759 0.4259 0.2500
Tl 0.1243 0.8743 0.2500
Tl 0.2239 0.9739 0.2500
Tl 0.7761 0.0261 0.7500
Tl 0.8757 0.1257 0.7500

=====

Here is an optimized crystal structure of NaAcTl from Alexandria. Energies are from PBE.

Output
E above lowest polymorph   0.000 eV per atom
Space-group type   P6_3/mmc
DOS(E_F)   7.49 states/eV per cell
Total magnetization   0.00 Bohr magnetons per cell

abc: 5.9142 5.9142 6.8835
angles: 90.00 90.00 120.00
Sites, in units of the cell vectors:
Na 0.0000 0.0000 0.0000
Na 0.0000 0.0000 0.5000
Ac 0.3333 0.6667 0.2500
Ac 0.6667 0.3333 0.7500
Tl 0.3333 0.6667 0.7500
Tl 0.6667 0.3333 0.2500

=====

Here is an optimized crystal structure of Na3Ac4Tl4 from Alexandria. Energies are from PBE.

Output
Space-group type   Immm
DOS(E_F)   7.37 states/eV per cell
Total magnetization   0.00 Bohr magnetons per cell

abc: 10.5833 10.5833 10.5833
angles: 153.13 125.56 61.73
Sites, in units of the cell vectors:
Na 0.0000 0.0000 0.0000
Na 0.3896 0.8896 0.5000
Na 0.6104 0.1104 0.5000
Ac 0.0368 0.3354 0.7014
Ac 0.3659 0.6646 0.7014
Ac 0.6341 0.3354 0.2986
Ac 0.9632 0.6646 0.2986
Tl 0.2359 0.2359 0.0000
Tl 0.3458 0.5000 0.8458
Tl 0.6542 0.5000 0.1542
Tl 0.7641 0.7641 0.0000

=====

Here is an optimized crystal structure of Na3Ac2Tl4 from Alexandria. Energies are from PBE.

Output
E above lowest polymorph   0.000 eV per atom
Space-group type   C2/m
DOS(E_F)   4.82 states/eV per cell
Total magnetization   0.00 Bohr magnetons per cell

abc: 5.5963 5.5963 10.7783
angles: 90.12 90.12 59.90
Sites, in units of the cell vectors:
Na 0.0000 0.0000 0.0000
Na 0.3342 0.3342 0.4293
Na 0.6658 0.6658 0.5707
Ac 0.3326 0.3326 0.7948
Ac 0.6674 0.6674 0.2052
Tl 0.0011 0.0011 0.3455
Tl 0.3341 0.3341 0.1108
Tl 0.6659 0.6659 0.8892
Tl 0.9989 0.9989 0.6545

=====

Here is an optimized crystal structure of NaAcTl from Alexandria. Energies are from PBE.

Output
E above lowest polymorph   0.098 eV per atom
Space-group type   I4mm
DOS(E_F)   3.11 states/eV per cell
Total magnetization   0.00 Bohr magnetons per cell

abc: 6.7985 6.7985 6.7985
angles: 144.95 144.95 50.41
Sites, in units of the cell vectors:
Na 0.0000 0.0000 0.0000
Ac 0.2955 0.2955 0.0000
Tl 0.6285 0.6285 0.0000

=====

Here is an optimized crystal structure of NaAc3Tl3 from Alexandria. Energies are from PBE.

Output
Space-group type   C2/m
DOS(E_F)   11.39 states/eV per cell
Total magnetization   0.00 Bohr magnetons per cell

abc: 7.8285 7.8285 9.0405
angles: 93.30 93.30 112.67
Sites, in units of the cell vectors:
Na 0.2013 0.2013 0.0038
Na 0.7987 0.7987 0.9962
Ac 0.1632 0.1632 0.3944
Ac 0.2819 0.7181 0.0000
Ac 0.3035 0.6965 0.5000
Ac 0.6965 0.3035 0.5000
Ac 0.7181 0.2819 0.0000
Ac 0.8368 0.8368 0.6056
Tl 0.0455 0.3357 0.7360
Tl 0.3357 0.0455 0.7360
Tl 0.4840 0.4840 0.7628
Tl 0.5160 0.5160 0.2372
Tl 0.6643 0.9545 0.2640
Tl 0.9545 0.6643 0.2640

=====

Here is an optimized crystal structure of NaAc6Tl5 from Alexandria. Energies are from PBE.

Output
Space-group type   Immm
DOS(E_F)   14.18 states/eV per cell
Total magnetization   0.00 Bohr magnetons per cell

abc: 10.1854 10.1854 10.1854
angles: 146.53 132.18 59.63
Sites, in units of the cell vectors:
Na 0.0000 0.0000 0.0000
Ac 0.0829 0.8285 0.2543
Ac 0.2623 0.5000 0.7623
Ac 0.4258 0.1715 0.2543
Ac 0.5742 0.8285 0.7457
Ac 0.7377 0.5000 0.2377
Ac 0.9171 0.1715 0.7457
Tl 0.1542 0.6542 0.5000
Tl 0.3331 0.3331 0.0000
Tl 0.5000 0.0000 0.5000
Tl 0.6669 0.6669 0.0000
Tl 0.8458 0.3458 0.5000

=====

Here is an optimized crystal structure of Na3Ac2Tl4 from Alexandria. Energies are from PBE.

Output
E above lowest polymorph   0.067 eV per atom
Space-group type   Cmce
DOS(E_F)   13.57 states/eV per cell
Total magnetization   0.00 Bohr magnetons per cell

abc: 10.2678 10.2678 8.7912
angles: 90.00 90.00 141.46
Sites, in units of the cell vectors:
Na 0.0000 0.0000 0.0000
Na 0.0195 0.4805 0.2500
Na 0.4805 0.0195 0.7500
Na 0.5000 0.5000 0.5000
Na 0.5195 0.9805 0.2500
Na 0.9805 0.5195 0.7500
Ac 0.0984 0.9016 0.4030
Ac 0.4016 0.5984 0.9030
Ac 0.5984 0.4016 0.0970
Ac 0.9016 0.0984 0.5970
Tl 0.1588 0.8412 0.0261
Tl 0.1858 0.3142 0.2500
Tl 0.3142 0.1858 0.7500
Tl 0.3412 0.6588 0.5261
Tl 0.6588 0.3412 0.4739
Tl 0.6858 0.8142 0.2500
Tl 0.8142 0.6858 0.7500
Tl 0.8412 0.1588 0.9739

=====

Here is an optimized crystal structure of NaAcTl2 from Alexandria. Energies are from PBE.

Output
E above lowest polymorph   0.035 eV per atom
Space-group type   P4/mmm
DOS(E_F)   2.79 states/eV per cell
Total magnetization   0.00 Bohr magnetons per cell

abc: 5.6547 5.6547 4.1025
angles: 90.00 90.00 90.00
Sites, in units of the cell vectors:
Na 0.0000 0.0000 0.0000
Ac 0.5000 0.5000 0.0000
Tl 0.0000 0.5000 0.5000
Tl 0.5000 0.0000 0.5000

=====

Here is an optimized crystal structure of NaAc3Tl12 from Alexandria. Energies are from PBE.

Output
Space-group type   P4/mmm
DOS(E_F)   6.98 states/eV per cell
Total magnetization   0.00 Bohr magnetons per cell

abc: 4.9893 4.9893 19.7143
angles: 90.00 90.00 90.00
Sites, in units of the cell vectors:
Na 0.0000 0.0000 0.0000
Ac 0.0000 0.0000 0.2443
Ac 0.0000 0.0000 0.5000
Ac 0.0000 0.0000 0.7557
Tl 0.0000 0.5000 0.1167
Tl 0.0000 0.5000 0.3723
Tl 0.0000 0.5000 0.6277
Tl 0.0000 0.5000 0.8833
Tl 0.5000 0.0000 0.1167
Tl 0.5000 0.0000 0.3723
Tl 0.5000 0.0000 0.6277
Tl 0.5000 0.0000 0.8833
Tl 0.5000 0.5000 0.0000
Tl 0.5000 0.5000 0.2490
Tl 0.5000 0.5000 0.5000
Tl 0.5000 0.5000 0.7510

=====

Here is an optimized crystal structure of NaAc2Tl from Alexandria. Energies are from PBE.

Output
Space-group type   R-3m
DOS(E_F)   4.45 states/eV per cell
Total magnetization   0.00 Bohr magnetons per cell

abc: 13.0152 13.0152 13.0152
angles: 17.38 17.38 17.38
Sites, in units of the cell vectors:
Na 0.0000 0.0000 0.0000
Ac 0.0989 0.0989 0.0989
Ac 0.9011 0.9011 0.9011
Tl 0.5000 0.5000 0.5000

=====

Here is an optimized crystal structure of NaAcTl2 from Alexandria. Energies are from PBE.

Output
E above lowest polymorph   0.206 eV per atom
Space-group type   R-3m
DOS(E_F)   3.75 states/eV per cell
Total magnetization   0.00 Bohr magnetons per cell

abc: 10.9686 10.9686 10.9686
angles: 20.04 20.04 20.04
Sites, in units of the cell vectors:
Na 0.0000 0.0000 0.0000
Ac 0.5000 0.5000 0.5000
Tl 0.2552 0.2552 0.2552
Tl 0.7448 0.7448 0.7448

=====

Here is an optimized crystal structure of Na2AcTl5 from Alexandria. Energies are from PBE.

Output
E above lowest polymorph   0.000 eV per atom
Space-group type   I4/mmm
DOS(E_F)   5.32 states/eV per cell
Total magnetization   0.00 Bohr magnetons per cell

abc: 9.8434 9.8434 9.8434
angles: 149.98 149.98 42.97
Sites, in units of the cell vectors:
Na 0.2474 0.2474 0.0000
Na 0.7526 0.7526 0.0000
Ac 0.0000 0.0000 0.0000
Tl 0.1333 0.6333 0.5000
Tl 0.3667 0.8667 0.5000
Tl 0.5000 0.5000 0.0000
Tl 0.6333 0.1333 0.5000
Tl 0.8667 0.3667 0.5000

=====

Here is an optimized crystal structure of NaAc3Tl2 from Alexandria. Energies are from PBE.

Output
E above lowest polymorph   0.055 eV per atom
Space-group type   C2/c
DOS(E_F)   12.68 states/eV per cell
Total magnetization   0.00 Bohr magnetons per cell

abc: 9.5216 9.5216 7.2569
angles: 102.43 102.43 43.52
Sites, in units of the cell vectors:
Na 0.1645 0.8355 0.7500
Na 0.8355 0.1645 0.2500
Ac 0.0847 0.2853 0.1243
Ac 0.2853 0.0847 0.6243
Ac 0.3361 0.6639 0.2500
Ac 0.6639 0.3361 0.7500
Ac 0.7147 0.9153 0.3757
Ac 0.9153 0.7147 0.8757
Tl 0.2443 0.4573 0.4763
Tl 0.4573 0.2443 0.9763
Tl 0.5427 0.7557 0.0237
Tl 0.7557 0.5427 0.5237

=====

Here is an optimized crystal structure of Na2AcTl5 from Alexandria. Energies are from PBE.

Output
E above lowest polymorph   0.075 eV per atom
Space-group type   I4/mcm
DOS(E_F)   11.17 states/eV per cell
Total magnetization   0.00 Bohr magnetons per cell

abc: 9.0962 9.0962 9.0962
angles: 123.90 123.90 83.37
Sites, in units of the cell vectors:
Na 0.1563 0.6563 0.8126
Na 0.3437 0.1563 0.5000
Na 0.6563 0.8437 0.5000
Na 0.8437 0.3437 0.1874
Ac 0.2500 0.2500 0.0000
Ac 0.7500 0.7500 0.0000
Tl 0.0000 0.0000 0.0000
Tl 0.0211 0.8010 0.5000
Tl 0.1990 0.6990 0.2200
Tl 0.3010 0.5211 0.5000
Tl 0.4789 0.9789 0.7800
Tl 0.5000 0.5000 0.0000
Tl 0.5211 0.0211 0.2200
Tl 0.6990 0.4789 0.5000
Tl 0.8010 0.3010 0.7800
Tl 0.9789 0.1990 0.5000

=====

Here is an optimized crystal structure of NaAc3Tl2 from Alexandria. Energies are from PBE.

Output
E above lowest polymorph   0.000 eV per atom
Space-group type   P-3m1
DOS(E_F)   13.95 states/eV per cell
Total magnetization   0.00 Bohr magnetons per cell

abc: 5.8889 5.8889 14.3558
angles: 90.00 90.00 120.00
Sites, in units of the cell vectors:
Na 0.3333 0.6667 0.1719
Na 0.6667 0.3333 0.8281
Ac 0.0000 0.0000 0.2593
Ac 0.0000 0.0000 0.7407
Ac 0.3333 0.6667 0.4250
Ac 0.3333 0.6667 0.9190
Ac 0.6667 0.3333 0.0810
Ac 0.6667 0.3333 0.5750
Tl 0.0000 0.0000 0.0000
Tl 0.0000 0.0000 0.5000
Tl 0.3333 0.6667 0.6780
Tl 0.6667 0.3333 0.3220

=====

Here is an optimized crystal structure of NaAc4Tl7 from Alexandria. Energies are from PBE.

Output
Space-group type   C2/m
DOS(E_F)   6.96 states/eV per cell
Total magnetization   0.00 Bohr magnetons per cell

abc: 7.6871 7.6871 12.3201
angles: 119.29 119.29 44.59
Sites, in units of the cell vectors:
Na 0.0000 0.0000 0.0000
Ac 0.2640 0.2640 0.6694
Ac 0.4164 0.4164 0.2219
Ac 0.5836 0.5836 0.7781
Ac 0.7360 0.7360 0.3306
Tl 0.0858 0.0858 0.3203
Tl 0.2184 0.2184 0.9146
Tl 0.3734 0.3734 0.4707
Tl 0.5000 0.5000 0.0000
Tl 0.6266 0.6266 0.5293
Tl 0.7816 0.7816 0.0854
Tl 0.9142 0.9142 0.6797

=====

Here is an optimized crystal structure of NaAcTl from Alexandria. Energies are from PBE.

Output
E above lowest polymorph   0.133 eV per atom
Space-group type   F-43m
DOS(E_F)   3.89 states/eV per cell
Total magnetization   0.00 Bohr magnetons per cell

abc: 5.4683 5.4683 5.4683
angles: 60.00 60.00 60.00
Sites, in units of the cell vectors:
Na 0.0000 0.0000 0.0000
Ac 0.5000 0.5000 0.5000
Tl 0.7500 0.7500 0.7500

=====

Here is an optimized crystal structure of NaAcTl4 from Alexandria. Energies are from PBE.

Output
E above lowest polymorph   0.057 eV per atom
Space-group type   F-43m
DOS(E_F)   3.49 states/eV per cell
Total magnetization   0.00 Bohr magnetons per cell

abc: 6.4597 6.4597 6.4597
angles: 60.00 60.00 60.00
Sites, in units of the cell vectors:
Na 0.0000 0.0000 0.0000
Ac 0.2500 0.2500 0.2500
Tl 0.1249 0.6250 0.6250
Tl 0.6250 0.1249 0.6250
Tl 0.6250 0.6250 0.1249
Tl 0.6250 0.6250 0.6250

=====

Here is an optimized crystal structure of NaAc2Tl3 from Alexandria. Energies are from PBE.

Output
E above lowest polymorph   0.068 eV per atom
Space-group type   Fmmm
DOS(E_F)   7.99 states/eV per cell
Total magnetization   0.00 Bohr magnetons per cell

abc: 10.6879 10.0710 6.6380
angles: 76.48 66.37 37.15
Sites, in units of the cell vectors:
Na 0.1672 0.1672 0.8328
Na 0.8328 0.8328 0.1672
Ac 0.2500 0.2500 0.2500
Ac 0.2539 0.7461 0.7461
Ac 0.7461 0.2539 0.2539
Ac 0.7500 0.7500 0.7500
Tl 0.1628 0.6672 0.3328
Tl 0.3308 0.3308 0.6692
Tl 0.3328 0.8372 0.1628
Tl 0.6672 0.1628 0.8372
Tl 0.6692 0.6692 0.3308
Tl 0.8372 0.3328 0.6672

=====

Going through the records in order, we get formation enthalpy at 0 K values of -0.1600, -0.1717, -0.0391, -0.2170, -0.0734, -0.1946, -0.2804, -0.1501, -0.2485, -0.2363, 0.0531, -0.0779, -0.1840, -0.1381, -0.1090, -0.1930, -0.1661, -0.0389, -0.1167, -0.2371 eV per atom.